(1)
# CaTbSbAu

CaTbSbAu after structural relaxation (PBE-GGA, the Alexandria database).

Properties
space group = No. 216
formation energy (no corrections) = -0.8056 eV/atom
M_tot = 0.0 μB per formula unit

Lattice parameters (Å, degrees): 5.261 5.261 5.261 60.00 60.00 60.00
Fractional coordinates of all 4 atoms:
Ca (0.000, 0.000, 0.000)
Tb (0.500, 0.500, 0.500)
Sb (0.250, 0.250, 0.250)
Au (0.750, 0.750, 0.750)

=====

(2)
# PmThSN

PmThSN after structural relaxation (PBE-GGA, the Alexandria database).

Properties
space group = No. 156
formation energy (no corrections) = -1.6703 eV/atom
M_tot = 0.0 μB per formula unit

Lattice parameters (Å, degrees): 3.735 3.735 6.680 90.00 90.00 120.00
Fractional coordinates of all 4 atoms:
Pm (0.000, 0.000, 0.000)
Th (0.667, 0.333, 0.420)
S (0.333, 0.667, 0.717)
N (0.333, 0.667, 0.223)